No. 1
Entry from the Alexandria database: a relaxed Tl8Sn6Hg crystal (PBE).

Structure (POSCAR):
```
Tl8Sn6Hg
1.0
7.6158 0.3145 3.9746
2.5460 7.1845 3.9746
0.4261 0.3145 8.5800
Tl Sn Hg
8 6 1
Direct
0.1204 0.6630 0.8219
0.1781 0.8796 0.3370
0.3370 0.1781 0.8796
0.5795 0.5795 0.5795
0.4205 0.4205 0.4205
0.6630 0.8219 0.1204
0.8219 0.1204 0.6630
0.8796 0.3370 0.1781
0.9276 0.4601 0.7241
0.2759 0.0724 0.5399
0.5399 0.2759 0.0724
0.4601 0.7241 0.9276
0.7241 0.9276 0.4601
0.0724 0.5399 0.2759
0.0000 0.0000 0.0000
```

Calculated values
E_tot   -42.45 eV/cell

***

No. 2
Entry from the Alexandria database: a relaxed Tl4Sn5Hg2 crystal (PBE).

Structure (POSCAR):
```
Tl4Sn5Hg2
1.0
-0.9247 -2.8500 -1.2980
8.0214 -2.8843 0.6183
-1.5323 -4.2760 10.4804
Tl Sn Hg
4 5 2
Direct
0.5000 0.3025 0.5516
0.5000 0.8477 0.9034
0.5000 0.6975 0.4484
0.5000 0.1523 0.0966
0.0000 0.4149 0.2763
0.0000 0.7784 0.1778
0.0000 0.5000 0.0000
0.0000 0.2216 0.8222
0.0000 0.5851 0.7237
0.0000 0.9516 0.6374
0.0000 0.0484 0.3626
```

Calculated values
E_tot   -29.78 eV/cell

***

No. 3
Entry from the Alexandria database: a relaxed Tl3Sn2Hg2 crystal (PBE).

Structure (POSCAR):
```
Tl3Sn2Hg2
1.0
3.6522 -0.0058 -0.8441
-2.4088 5.7732 -2.2206
0.1788 -0.3289 9.5882
Tl Sn Hg
3 2 2
Direct
0.5000 0.0000 0.0000
0.2133 0.8431 0.5782
0.7867 0.1569 0.4218
0.6422 0.5476 0.7343
0.3578 0.4524 0.2657
0.9234 0.7156 0.1377
0.0766 0.2844 0.8623
```

Calculated values
E_tot   -15.42 eV/cell

***

No. 4
Entry from the Alexandria database: a relaxed Tl4SnHg crystal (PBE).

Structure (POSCAR):
```
Tl4SnHg
1.0
-4.7177 -0.8318 -8.0749
1.7406 -5.3954 -0.4611
-5.4051 -2.0316 3.3672
Tl Sn Hg
8 2 2
Direct
0.3906 0.7500 0.0000
0.9003 0.2499 0.0000
0.2303 0.2500 0.7485
0.7303 0.7500 0.7515
0.4003 0.7501 0.5000
0.8906 0.2500 0.5000
0.7303 0.7500 0.2485
0.2303 0.2500 0.2515
0.5610 0.2501 0.0000
0.0610 0.7499 0.5000
0.0595 0.7499 0.0000
0.5595 0.2501 0.5000
```

Calculated values
Energy relative to the lowest polymorph listed for this composition   1.0 kJ per mole of atoms
E_tot   -27.18 eV/cell

***

No. 5
Entry from the Alexandria database: a relaxed TlSnHg5 crystal (PBE).

Structure (POSCAR):
```
TlSnHg5
1.0
-4.0747 2.4399 1.7330
-1.8882 -4.3673 1.7093
3.6371 1.1441 6.9409
Tl Sn Hg
1 1 5
Direct
0.0000 0.0000 0.0000
0.0000 0.0000 0.5000
0.5000 0.5000 0.0000
0.5000 0.0000 0.2766
0.0000 0.5000 0.2766
0.5000 0.0000 0.7234
0.0000 0.5000 0.7234
```

Calculated values
Energy relative to the lowest polymorph listed for this composition   0.0 kJ per mole of atoms
E_tot   -7.63 eV/cell

***

No. 6
Entry from the Alexandria database: a relaxed Tl2Sn2Hg crystal (PBE).

Structure (POSCAR):
```
Tl2Sn2Hg
1.0
-6.5158 0.1760 4.1124
3.6586 -3.2808 5.9371
1.2527 4.6302 1.7866
Tl Hg Sn
4 2 4
Direct
0.1661 0.6661 0.5000
0.6661 0.8339 0.5000
0.8339 0.3339 0.5000
0.3339 0.1661 0.5000
0.0000 0.0000 0.0000
0.5000 0.5000 0.0000
0.3607 0.8607 0.0000
0.8607 0.6393 0.0000
0.6393 0.1393 0.0000
0.1393 0.3607 0.0000
```

Calculated values
Energy relative to the lowest polymorph listed for this composition   5.1 kJ per mole of atoms
E_tot   -25.52 eV/cell

***

No. 7
Entry from the Alexandria database: a relaxed Tl4SnHg12 crystal (PBE).

Structure (POSCAR):
```
Tl4SnHg12
1.0
-1.3397 0.4808 -8.4249
2.1467 -8.0017 2.0904
-7.1345 2.2112 4.1492
Tl Sn Hg
4 1 12
Direct
0.0000 0.0000 0.5000
0.5000 0.0000 0.0000
0.5000 0.5000 0.5000
0.0000 0.5000 0.0000
0.0000 0.0000 0.0000
0.0000 0.3006 0.3006
0.0000 0.6994 0.6994
0.6994 0.6994 0.0000
0.3006 0.3006 0.0000
0.3006 0.0000 0.3006
0.6994 0.0000 0.6994
0.5000 0.2500 0.7500
0.5000 0.7500 0.2500
0.7500 0.2500 0.5000
0.2500 0.7500 0.5000
0.7500 0.5000 0.2500
0.2500 0.5000 0.7500
```

Calculated values
E_tot   -16.90 eV/cell

***

No. 8
Entry from the Alexandria database: a relaxed Tl9Sn4Hg crystal (PBE).

Structure (POSCAR):
```
Tl9Sn4Hg
1.0
-5.4791 8.6289 2.0817
-7.1232 -3.0631 -6.0515
-0.2443 -2.4523 9.5221
Tl Sn Hg
18 8 2
Direct
0.0414 0.7993 0.5986
0.0414 0.7993 0.2007
0.0414 0.4014 0.2007
0.9586 0.2007 0.4014
0.9586 0.2007 0.7993
0.9586 0.5986 0.7993
0.5414 0.2007 0.4014
0.5414 0.2007 0.7993
0.5414 0.5986 0.7993
0.4586 0.7993 0.5986
0.4586 0.7993 0.2007
0.4586 0.4014 0.2007
0.2500 0.4619 0.9239
0.2500 0.4619 0.5381
0.2500 0.0761 0.5381
0.7500 0.5381 0.0761
0.7500 0.5381 0.4619
0.7500 0.9239 0.4619
0.2500 0.1104 0.2208
0.2500 0.1104 0.8896
0.2500 0.7792 0.8896
0.7500 0.8896 0.7792
0.7500 0.8896 0.1104
0.7500 0.2208 0.1104
0.0000 0.0000 0.0000
0.5000 0.0000 0.0000
0.2500 0.6667 0.3333
0.7500 0.3333 0.6667
```

Calculated values
E_tot   -74.32 eV/cell

***

Number 1: energy of formation 0.05 eV/atom. Number 2: energy of formation 0.03 eV/atom. Number 3: energy of formation 0.04 eV/atom. Number 4: energy of formation 0.03 eV/atom. Number 5: energy of formation 0.04 eV/atom. Number 6: energy of formation 0.06 eV/atom. Number 7: energy of formation 0.01 eV/atom. Number 8: energy of formation 0.03 eV/atom.